# 1
DFT (PBE-GGA) results for a relaxed HfFe3Tc crystal.

Properties
Calculated total energy = -35.4 eV per formula unit
Total magnetization = 0.0 μB per formula unit
Crystal system = cubic

The structure in POSCAR format:
```
HfFe3Tc
1.0
4.353 0.000 0.000
0.000 4.353 0.000
0.000 0.000 4.353
Hf Fe Tc
1 3 1
direct
0.000 0.000 0.000 Hf
0.000 0.000 0.500 Fe
0.000 0.500 0.000 Fe
0.500 0.000 0.000 Fe
0.500 0.500 0.500 Tc
```

***

# 2
DFT (PBE-GGA) results for a relaxed Cs2BaMnBr crystal.

Properties
Calculated total energy = -13.5 eV per formula unit
Total magnetization = 2.7 μB per formula unit
Energy relative to the elements, uncorrected = 0.192 eV/atom
Crystal system = tetragonal

The structure in POSCAR format:
```
Cs2BaMnBr
1.0
6.687 0.000 0.000
0.000 6.687 0.000
0.000 0.000 5.392
Cs Ba Mn Br
2 1 1 1
direct
0.000 0.500 0.000 Cs
0.500 0.000 0.000 Cs
0.000 0.000 0.500 Ba
0.000 0.000 0.000 Mn
0.500 0.500 0.500 Br
```

***

# 3
DFT (PBE-GGA) results for a relaxed Cd2HO crystal.

Properties
Calculated total energy = -10.0 eV per formula unit
Total magnetization = 0.0 μB per formula unit
Crystal system = cubic

The structure in POSCAR format:
```
Cd2HO
1.0
0.000 2.974 2.974
2.974 0.000 2.974
2.974 2.974 0.000
Cd H O
2 1 1
direct
0.250 0.250 0.250 Cd
0.750 0.750 0.750 Cd
0.000 0.000 0.000 H
0.500 0.500 0.500 O
```

***

# 4
DFT (PBE-GGA) results for a relaxed TaMn crystal.

Properties
Calculated total energy = -19.7 eV per formula unit
Total magnetization = 2.0 μB per formula unit
Crystal system = hexagonal

The structure in POSCAR format:
```
TaMn
1.0
4.541 0.000 0.000
-2.271 3.933 0.000
0.000 0.000 7.295
Ta Mn
4 4
direct
0.000 0.000 0.250 Ta
0.000 0.000 0.750 Ta
0.333 0.667 0.250 Ta
0.667 0.333 0.750 Ta
0.333 0.667 0.584 Mn
0.333 0.667 0.916 Mn
0.667 0.333 0.084 Mn
0.667 0.333 0.416 Mn
```

***

# 5
DFT (PBE-GGA) results for a relaxed LaTbNi crystal.

Properties
Calculated total energy = -16.0 eV per formula unit
Total magnetization = 0.0 μB per formula unit
Crystal system = monoclinic

The structure in POSCAR format:
```
LaTbNi
1.0
5.500 0.000 0.000
0.000 4.608 0.000
-1.608 0.000 6.449
La Tb Ni
2 2 2
direct
0.086 0.250 0.285 La
0.914 0.750 0.715 La
0.443 0.250 0.799 Tb
0.557 0.750 0.201 Tb
0.368 0.750 0.551 Ni
0.632 0.250 0.449 Ni
```

***

# 6
DFT (PBE-GGA) results for a relaxed La3BiSb2 crystal.

Properties
Calculated total energy = -34.1 eV per formula unit
Total magnetization = 0.0 μB per formula unit
Energy relative to the elements, uncorrected = -1.203 eV/atom
Crystal system = orthorhombic

The structure in POSCAR format:
```
La3BiSb2
1.0
-2.328 3.289 6.976
2.328 -3.289 6.976
2.328 3.289 -6.976
La Bi Sb
3 1 2
direct
0.000 0.000 0.000 La
0.330 0.330 0.000 La
0.670 0.670 0.000 La
0.500 0.000 0.500 Bi
0.166 0.666 0.500 Sb
0.834 0.334 0.500 Sb
```

***

# 7
DFT (PBE-GGA) results for a relaxed CePr2TlN crystal.

Properties
Calculated total energy = -30.0 eV per formula unit
Total magnetization = 0.7 μB per formula unit
Energy relative to the elements, uncorrected = -0.764 eV/atom
Crystal system = tetragonal

The structure in POSCAR format:
```
CePr2TlN
1.0
5.129 0.000 0.000
0.000 5.129 0.000
0.000 0.000 4.850
Ce Pr Tl N
1 2 1 1
direct
0.000 0.000 0.000 Ce
0.000 0.500 0.500 Pr
0.500 0.000 0.500 Pr
0.500 0.500 0.000 Tl
0.000 0.000 0.500 N
```

***

# 8
DFT (PBE-GGA) results for a relaxed CsCd2AgF8 crystal.

Properties
Calculated total energy = -42.6 eV per formula unit
Total magnetization = 0.0 μB per formula unit
Energy relative to the elements, uncorrected = -1.842 eV/atom
Crystal system = triclinic

The structure in POSCAR format:
```
CsCd2AgF8
1.0
5.319 0.000 0.000
0.470 5.693 0.000
0.015 0.012 7.357
Cs Cd Ag F
1 2 1 8
direct
0.000 0.000 0.000 Cs
0.500 0.500 0.259 Cd
0.500 0.500 0.741 Cd
0.000 0.000 0.500 Ag
0.145 0.771 0.682 F
0.147 0.772 0.318 F
0.353 0.307 0.500 F
0.423 0.294 0.000 F
0.577 0.706 0.000 F
0.647 0.693 0.500 F
0.853 0.228 0.682 F
0.855 0.229 0.318 F
```